VASP calculation (PBE-GGA) on a relaxed MnZnH2 crystal.

Its distance to the lowest polymorph of the same formula is 106 meV/atom. The density of states at the Fermi level comes out at 0.36 states/eV/atom. Its volume is 68.9 Å³/cell.

Unit cell a=4.0515 b=4.0515 c=5.0836 alpha=66.52 beta=66.52 gamma=90.00
Closest atoms and distances in Å follow each position.
Positions (direct):
Mn (0.2500, 0.7500, 0.5000)  4 H 1.68
Mn (0.5000, 0.5000, 0.0000)  4 H 1.68
Zn (0.7500, 0.2500, 0.5000)  4 H 1.88
Zn (0.0000, 0.0000, 0.0000)  4 H 1.88
H (0.5811, 0.1250, 0.2500)  2 Mn 1.68
H (0.3750, 0.4189, 0.7500)  2 Mn 1.68
H (0.1689, 0.6250, 0.2500)  2 Mn 1.68
H (0.8750, 0.8311, 0.7500)  2 Mn 1.68



VASP calculation (PBE-GGA) on a relaxed Mg4SbMo crystal.

The density of states at the Fermi level comes out at 1.13 states/eV/atom. Its uncorrected formation energy is 0.437 eV/atom. Its volume is 123.4 Å³/cell.

Unit cell a=5.5889 b=5.5889 c=5.5889 alpha=60.00 beta=60.00 gamma=60.00
Closest atoms and distances in Å follow each position.
Positions (direct):
Mo (0.7500, 0.7500, 0.7500)  12 Mg 3.27, 4 Sb 3.42
Mg (0.3760, 0.8719, 0.3760)  6 Mg 2.77-2.82
Mg (0.8719, 0.3760, 0.3760)  6 Mg 2.77-2.82
Mg (0.3760, 0.3760, 0.8719)  6 Mg 2.77-2.82
Mg (0.3760, 0.3760, 0.3760)  6 Mg 2.77-2.82
Sb (0.0000, 0.0000, 0.0000)  12 Mg 3.28, 4 Mo 3.42



VASP calculation (PBE-GGA) on a relaxed PtAu crystal.

For the formation energy, the calculation gives 0.046 eV per atom. The density of states at the Fermi level comes out at 0.62 states/eV/atom. Its volume is 67.3 Å³/cell.

Unit cell a=2.8393 b=2.8393 c=9.6422 alpha=90.00 beta=90.00 gamma=120.00
Closest atoms and distances in Å follow each position.
Positions (direct):
Pt (0.6667, 0.3333, 0.7500)  6 Pt 2.84, 6 Au 2.92
Pt (0.3333, 0.6667, 0.2500)  6 Pt 2.84, 6 Au 2.92
Au (0.0000, 0.0000, 0.0000)  6 Au 2.84, 6 Pt 2.92
Au (0.0000, 0.0000, 0.5000)  6 Au 2.84, 6 Pt 2.92



VASP calculation (PBE-GGA) on a relaxed CaBe3P crystal.

For the formation energy, the calculation gives 2.294 eV per atom. Its distance to the lowest polymorph of the same formula is 1775 meV/atom. The density of states at the Fermi level comes out at 0.95 states/eV/atom. Its volume is 122.6 Å³/cell.

Unit cell a=4.9683 b=4.9683 c=4.9683 alpha=90.00 beta=90.00 gamma=90.00
Closest atoms and distances in Å follow each position.
Positions (direct):
Ca (0.0000, 0.0000, 0.0000)  6 Be 2.48
P (0.5000, 0.5000, 0.5000)  12 Be 3.51
Be (0.5000, 0.0000, 0.0000)  2 Ca 2.48
Be (0.0000, 0.5000, 0.0000)  2 Ca 2.48
Be (0.0000, 0.0000, 0.5000)  2 Ca 2.48



Which formula does entry 3 have?
PtAu